The following is a DFT calculation (GGA-PBE) of a geometry-optimized NpAl4Bi structure.

```
NpAl4Bi
1.0
0.0000 3.9603 3.9603
3.9603 0.0000 3.9603
3.9603 3.9603 0.0000
Np Al Bi
1 4 1
Cartesian
0.0000 0.0000 0.0000
2.9640 2.9640 2.9640
4.9566 4.9566 2.9640
4.9566 2.9640 4.9566
2.9640 4.9566 4.9566
5.9405 5.9405 5.9405
```

Properties
The density comes out at 7.4 Mg/m³. The uncorrected energy is -5.2016 eV per atom. The value obtained for the density of states at the Fermi level is 15.71 states/eV/cell. The formation energy comes out at 0.097 eV per atom.